(1)
The following is a DFT calculation (GGA-PBE) of a relaxed ScHgS2 crystal.

abc: 8.011 8.011 8.011
angles: 29.05 29.05 29.05
Fractional positions:
1 S 0.897 0.897 0.897
2 S 0.103 0.103 0.103
3 Sc 0.000 0.000 0.000
4 Hg 0.500 0.500 0.500

SG ... No. 166
E ... -3.94 eV/atom
Formation energy (no corrections) ... -0.214 eV per atom
Crystal system ... trigonal

(2)
The following is a DFT calculation (GGA-PBE) of a relaxed Nb2InAg crystal.

abc: 7.717 7.717 6.104
angles: 50.79 50.79 90.00
Fractional positions:
1 In 0.000 0.000 0.000
2 In 0.750 0.250 0.500
3 Ag 0.250 0.750 0.500
4 Ag 0.500 0.500 0.000
5 Nb 0.375 0.381 0.750
6 Nb 0.875 0.869 0.750
7 Nb 0.619 0.125 0.250
8 Nb 0.131 0.625 0.250

SG ... No. 122
DFT formation energy ... 0.597 eV per atom
E ... -5.84 eV/atom
Crystal system ... tetragonal

(3)
The following is a DFT calculation (GGA-PBE) of a relaxed InSnHgS4 crystal.

abc: 7.942 7.923 7.923
angles: 58.47 59.92 59.92
Fractional positions:
1 S 0.776 0.235 0.735
2 S 0.253 0.235 0.735
3 S 0.224 0.765 0.265
4 S 0.747 0.765 0.265
5 S 0.240 0.779 0.740
6 S 0.240 0.240 0.279
7 S 0.760 0.221 0.260
8 S 0.760 0.760 0.721
9 In 0.000 0.000 0.500
10 In 0.500 0.000 0.500
11 Sn 0.000 0.500 0.500
12 Sn 0.000 0.000 0.000
13 Hg 0.378 0.372 0.872
14 Hg 0.622 0.628 0.128

SG ... No. 74
E ... -3.70 eV/atom
Formation energy (no corrections) ... -0.337 eV per atom
Crystal system ... orthorhombic

(4)
The following is a DFT calculation (GGA-PBE) of a relaxed Li2GaC2 crystal.

abc: 5.288 5.288 3.590
angles: 90.00 90.00 90.00
Fractional positions:
1 Ga 0.500 0.500 0.000
2 Ga 0.000 0.000 0.000
3 C 0.591 0.091 0.000
4 C 0.909 0.591 0.000
5 C 0.091 0.409 0.000
6 C 0.409 0.909 0.000
7 Li 0.327 0.173 0.500
8 Li 0.173 0.673 0.500
9 Li 0.827 0.327 0.500
10 Li 0.673 0.827 0.500

SG ... No. 127
DFT formation energy ... 0.199 eV per atom
E ... -4.86 eV/atom
Crystal system ... tetragonal